A relaxed DyHo7Er3 crystal, computed with PBE.

```
DyHo7Er3
1.0
2.0026 -1.0437 -4.9799
5.4605 -7.2427 3.7103
-8.1536 -1.3722 3.0149
Dy Ho Er
1 7 3
Cartesian
-0.3452 -4.8293 0.8727 Dy
-1.1134 -8.2370 1.2775 Ho
2.6994 -6.5113 -0.5529 Ho
1.8618 -3.5510 -1.5092 Ho
-2.5523 -6.1076 3.2546 Ho
-3.0755 -1.2080 -0.9825 Ho
-3.3898 -3.1473 2.2983 Ho
0.4230 -1.4216 0.4679 Ho
-0.3373 -8.5926 4.6655 Er
2.7303 -3.6213 1.8552 Er
-0.3532 -1.0660 -2.9201 Er
```

Properties
DOS at the Fermi energy (states/eV per cell): 17.69
Distance to the lowest polymorph of the same formula (eV/atom): 0.000
Calculated total energy (eV/atom): -4.43